Entry 1:
{
  "formula": "RbF",
  "functional": "meta-GGA SCAN",
  "state": "PBEsol geometry",
  "vol_a3_per_fu": 37.7,
  "sg": "Pm-3m, No. 221",
  "formation_energy_uncorrected_ev_per_atom": -2.796,
  "cell": [[3.354, 0.000, 0.000], [0.000, 3.354, 0.000], [0.000, 0.000, 3.354]],
  "species": ["Rb", "F"],
  "frac_coords": [[0.000, 0.000, 0.000], [0.500, 0.500, 0.500]]
}



Entry 2:
{
  "formula": "RbF",
  "functional": "meta-GGA SCAN",
  "state": "PBEsol geometry",
  "vol_a3_per_fu": 43.7,
  "sg": "Fm-3m, No. 225",
  "formation_energy_uncorrected_ev_per_atom": -2.845,
  "cell": [[0.000, 2.797, 2.797], [2.797, 0.000, 2.797], [2.797, 2.797, 0.000]],
  "species": ["Rb", "F"],
  "frac_coords": [[0.000, 0.000, 0.000], [0.500, 0.500, 0.500]]
}



Entry 3:
{
  "formula": "RbRh3F",
  "functional": "meta-GGA SCAN",
  "state": "PBEsol geometry",
  "vol_a3_per_fu": 89.5,
  "sg": "Pm-3m, No. 221",
  "formation_energy_uncorrected_ev_per_atom": 0.839,
  "cell": [[4.473, 0.000, 0.000], [0.000, 4.473, 0.000], [0.000, 0.000, 4.473]],
  "species": ["Rb", "Rh", "Rh", "Rh", "F"],
  "frac_coords": [[0.000, 0.000, 0.000], [0.000, 0.500, 0.500], [0.500, 0.000, 0.500], [0.500, 0.500, 0.000], [0.500, 0.500, 0.500]]
}



Entry 4:
{
  "formula": "Rb3RhF6",
  "functional": "meta-GGA SCAN",
  "state": "PBEsol geometry",
  "vol_a3_per_fu": 186.8,
  "sg": "Fm-3m, No. 225",
  "formation_energy_uncorrected_ev_per_atom": -2.570,
  "cell": [[0.000, 4.537, 4.537], [4.537, 0.000, 4.537], [4.537, 4.537, 0.000]],
  "species": ["Rb", "Rb", "Rb", "Rh", "F", "F", "F", "F", "F", "F"],
  "frac_coords": [[0.000, 0.000, 0.000], [0.250, 0.250, 0.250], [0.750, 0.750, 0.750], [0.500, 0.500, 0.500], [0.283, 0.283, 0.717], [0.283, 0.717, 0.283], [0.283, 0.717, 0.717], [0.717, 0.283, 0.283], [0.717, 0.283, 0.717], [0.717, 0.717, 0.283]]
}



Entry 5:
{
  "formula": "Rb2TlRhF6",
  "functional": "meta-GGA SCAN",
  "state": "PBEsol geometry",
  "vol_a3_per_fu": 184.1,
  "sg": "Fm-3m, No. 225",
  "formation_energy_uncorrected_ev_per_atom": -2.345,
  "cell": [[0.000, 4.515, 4.515], [4.515, 0.000, 4.515], [4.515, 4.515, 0.000]],
  "species": ["Rb", "Rb", "Tl", "Rh", "F", "F", "F", "F", "F", "F"],
  "frac_coords": [[0.250, 0.250, 0.250], [0.750, 0.750, 0.750], [0.000, 0.000, 0.000], [0.500, 0.500, 0.500], [0.280, 0.280, 0.720], [0.280, 0.720, 0.280], [0.280, 0.720, 0.720], [0.720, 0.280, 0.280], [0.720, 0.280, 0.720], [0.720, 0.720, 0.280]]
}



Entry 6:
{
  "formula": "RbRuF6",
  "functional": "meta-GGA SCAN",
  "state": "PBEsol geometry",
  "vol_a3_per_fu": 129.5,
  "sg": "R-3m, No. 166",
  "formation_energy_uncorrected_ev_per_atom": -2.320,
  "cell": [[3.849, 2.222, 2.524], [-3.849, 2.222, 2.524], [0.000, -4.444, 2.524]],
  "species": ["Rb", "Ru", "F", "F", "F", "F", "F", "F"],
  "frac_coords": [[0.000, 0.000, 0.000], [0.500, 0.500, 0.500], [0.241, 0.241, 0.581], [0.241, 0.581, 0.241], [0.419, 0.759, 0.759], [0.581, 0.241, 0.241], [0.759, 0.419, 0.759], [0.759, 0.759, 0.419]]
}



Repeat the fourth record exactly.
{
  "formula": "Rb3RhF6",
  "functional": "meta-GGA SCAN",
  "state": "PBEsol geometry",
  "vol_a3_per_fu": 186.8,
  "sg": "Fm-3m, No. 225",
  "formation_energy_uncorrected_ev_per_atom": -2.570,
  "cell": [[0.000, 4.537, 4.537], [4.537, 0.000, 4.537], [4.537, 4.537, 0.000]],
  "species": ["Rb", "Rb", "Rb", "Rh", "F", "F", "F", "F", "F", "F"],
  "frac_coords": [[0.000, 0.000, 0.000], [0.250, 0.250, 0.250], [0.750, 0.750, 0.750], [0.500, 0.500, 0.500], [0.283, 0.283, 0.717], [0.283, 0.717, 0.283], [0.283, 0.717, 0.717], [0.717, 0.283, 0.283], [0.717, 0.283, 0.717], [0.717, 0.717, 0.283]]
}